Record 1
5
Lattice="4.920 0.000 0.000 0.000 4.920 0.000 0.000 0.000 5.137" Properties=species:S:1:pos:R:3 comment="Al2SiTeMo, optimized geometry, DFT PBE-GGA" magnetic_moment_mub_per_fu=0.00 rho_g_cm3=4.08 formation_energy_uncorrected_ev_per_atom=0.86 final_energy_ev_per_atom=-4.517 sg="No. 123" volume_a3_per_atom=24.9 pbc="T T T"
Al 0.000 2.460 0.000
Al 2.460 0.000 0.000
Si 0.000 0.000 2.569
Te 2.460 2.460 2.569
Mo 2.460 2.460 0.000

Record 2
5
Lattice="4.714 0.000 0.000 0.000 4.714 0.000 0.000 0.000 4.942" Properties=species:S:1:pos:R:3 comment="AlZnSi2Mo, optimized geometry, DFT PBE-GGA" magnetic_moment_mub_per_fu=0.00 rho_g_cm3=3.70 formation_energy_uncorrected_ev_per_atom=0.52 final_energy_ev_per_atom=-4.814 sg="No. 123" volume_a3_per_atom=22.0 pbc="T T T"
Al 0.000 0.000 0.000
Zn 2.357 2.357 0.000
Si 0.000 2.357 2.471
Si 2.357 0.000 2.471
Mo 0.000 0.000 2.471

Record 3
5
Lattice="4.717 0.000 0.000 0.000 4.717 0.000 0.000 0.000 5.051" Properties=species:S:1:pos:R:3 comment="ZrAlSi2Mo, optimized geometry, DFT PBE-GGA" magnetic_moment_mub_per_fu=0.00 rho_g_cm3=3.99 formation_energy_uncorrected_ev_per_atom=0.59 final_energy_ev_per_atom=-6.202 sg="No. 123" volume_a3_per_atom=22.5 pbc="T T T"
Zr 0.000 0.000 0.000
Al 2.358 2.358 0.000
Si 0.000 2.358 2.526
Si 2.358 0.000 2.526
Mo 0.000 0.000 2.526

Record 4
106
Lattice="11.070 0.000 0.000 -5.535 9.587 0.000 0.000 0.000 17.818" Properties=species:S:1:pos:R:3 comment="Sm6Al43Mo4, optimized geometry, DFT PBE-GGA" magnetic_moment_mub_per_fu=0.00 rho_g_cm3=4.30 final_energy_ev_per_atom=-4.711 e_form_ev_per_fu=-17.13 sg="No. 193" volume_a3_per_atom=17.8 pbc="T T T"
Sm -2.606 4.513 1.693
Sm -2.606 4.513 7.216
Sm -2.929 5.074 10.602
Sm -2.929 5.074 16.125
Sm 5.211 0.000 1.693
Sm 5.211 0.000 7.216
Sm 2.606 4.513 10.602
Sm 2.606 4.513 16.125
Sm 5.858 0.000 10.602
Sm 5.858 0.000 16.125
Sm 2.929 5.074 1.693
Sm 2.929 5.074 7.216
Al -0.814 1.409 13.363
Al -0.878 1.521 2.049
Al -0.878 1.521 6.860
Al -1.395 2.417 9.462
Al -1.395 2.417 17.265
Al -4.140 7.170 0.553
Al -4.140 7.170 8.356
Al -4.657 8.066 10.958
Al -4.657 8.066 15.769
Al -4.721 8.177 4.454
Al 1.627 0.000 13.363
Al 0.814 1.409 4.454
Al -1.427 5.282 4.454
Al -1.674 5.710 13.363
Al -0.426 3.768 11.845
Al -0.426 3.768 14.882
Al -2.485 7.334 2.936
Al -2.485 7.334 5.973
Al 1.756 0.000 2.049
Al 1.756 0.000 6.860
Al 0.878 1.521 10.958
Al 0.878 1.521 15.769
Al 0.426 3.768 2.936
Al 0.426 3.768 5.973
Al -2.058 8.072 11.845
Al -2.058 8.072 14.882
Al 0.000 4.725 0.000
Al 0.000 4.725 8.909
Al -1.443 7.224 0.000
Al -1.443 7.224 8.909
Al 2.791 0.000 9.462
Al 2.791 0.000 17.265
Al 1.395 2.417 0.553
Al 1.395 2.417 8.356
Al 0.000 6.391 2.252
Al 0.000 6.391 6.657
Al 0.000 6.391 11.161
Al 0.000 6.391 15.566
Al 3.477 1.515 11.845
Al 3.477 1.515 14.882
Al 3.050 2.253 2.936
Al 3.050 2.253 5.973
Al 1.427 5.282 13.363
Al -0.247 8.181 4.454
Al 1.674 5.710 4.454
Al 0.247 8.181 13.363
Al 4.092 2.363 0.000
Al 4.092 2.363 8.909
Al 1.443 7.224 0.000
Al 1.443 7.224 8.909
Al 5.288 1.405 4.454
Al 3.861 3.877 13.363
Al 5.782 1.405 13.363
Al 4.108 4.305 4.454
Al 2.485 7.334 11.845
Al 2.485 7.334 14.882
Al 2.058 8.072 2.936
Al 2.058 8.072 5.973
Al 5.535 3.196 2.252
Al 5.535 3.196 6.657
Al 5.535 3.196 11.161
Al 5.535 3.196 15.566
Al 8.279 0.000 0.553
Al 8.279 0.000 8.356
Al 4.140 7.170 9.462
Al 4.140 7.170 17.265
Al 6.978 2.363 0.000
Al 6.978 2.363 8.909
Al 5.535 4.862 0.000
Al 5.535 4.862 8.909
Al 7.593 1.515 2.936
Al 7.593 1.515 5.973
Al 5.109 5.818 11.845
Al 5.109 5.818 14.882
Al 9.314 0.000 10.958
Al 9.314 0.000 15.769
Al 4.657 8.066 2.049
Al 4.657 8.066 6.860
Al 8.019 2.253 11.845
Al 8.019 2.253 14.882
Al 5.961 5.818 2.936
Al 5.961 5.818 5.973
Al 9.442 0.000 4.454
Al 7.209 3.877 4.454
Al 6.962 4.305 13.363
Al 4.721 8.177 13.363
Mo 0.000 0.000 0.000
Mo 0.000 0.000 8.909
Mo -1.488 2.577 4.454
Mo -4.047 7.010 13.363
Mo 2.976 0.000 4.454
Mo 1.488 2.577 13.363
Mo 8.094 0.000 13.363
Mo 4.047 7.010 4.454

Record 5
4
Lattice="0.000 3.614 3.614 3.614 0.000 3.614 3.614 3.614 0.000" Properties=species:S:1:pos:R:3 comment="Sm2AlMo, optimized geometry, DFT PBE-GGA" magnetic_moment_mub_per_fu=0.00 rho_g_cm3=7.45 final_energy_ev_per_atom=-5.837 e_form_ev_per_fu=0.66 sg="No. 225" volume_a3_per_atom=23.6 pbc="T T T"
Sm 1.807 1.807 1.807
Sm 5.421 5.421 5.421
Al 0.000 0.000 0.000
Mo 3.614 3.614 3.614

Record 6
6
Lattice="2.836 1.637 4.493 -2.836 1.637 4.493 0.000 -3.275 4.493" Properties=species:S:1:pos:R:3 comment="Sm2Al3Mo, optimized geometry, DFT PBE-GGA" magnetic_moment_mub_per_fu=0.00 rho_g_cm3=6.34 final_energy_ev_per_atom=-5.592 e_form_ev_per_fu=-2.05 sg="No. 166" volume_a3_per_atom=20.9 pbc="T T T"
Sm 0.000 0.000 1.726
Sm 0.000 0.000 11.754
Al -1.418 -0.819 4.493
Al -1.418 0.819 8.986
Al 0.000 1.637 4.493
Mo 0.000 0.000 6.740

Copy entry 1 word for word.
5
Lattice="4.920 0.000 0.000 0.000 4.920 0.000 0.000 0.000 5.137" Properties=species:S:1:pos:R:3 comment="Al2SiTeMo, optimized geometry, DFT PBE-GGA" magnetic_moment_mub_per_fu=0.00 rho_g_cm3=4.08 formation_energy_uncorrected_ev_per_atom=0.86 final_energy_ev_per_atom=-4.517 sg="No. 123" volume_a3_per_atom=24.9 pbc="T T T"
Al 0.000 2.460 0.000
Al 2.460 0.000 0.000
Si 0.000 0.000 2.569
Te 2.460 2.460 2.569
Mo 2.460 2.460 0.000